Entry 1:
This record from the Alexandria database describes a relaxed structure of Hf3AuO. The functional is GGA-PBEsol.

## Properties
For the formation energy (no corrections), the calculation gives -1.22 eV per atom. The density of states at the Fermi level comes out at 0.77 states/eV per atom. As for the space-group type: Pm-3m (221). For the electronic total energy, the calculation gives -9.359 eV per atom.

The structure in CIF format:
```
data_Hf3AuO
_chemical_formula_sum 'Hf3 Au1 O1'
_symmetry_space_group_name_H-M 'P 1'
_symmetry_Int_Tables_number 1
_cell_length_a 4.335
_cell_length_b 4.335
_cell_length_c 4.335
_cell_angle_alpha 90.00
_cell_angle_beta 90.00
_cell_angle_gamma 90.00
loop_
_symmetry_equiv_pos_as_xyz
'x,y,z'
loop_
_atom_site_label
_atom_site_fract_x
_atom_site_fract_y
_atom_site_fract_z
Hf1 0.500 0.000 0.000
Hf2 0.000 0.000 0.500
O1 0.000 0.000 0.000
Au1 0.500 0.500 0.500
Hf3 0.000 0.500 0.000
```

Entry 2:
This record from the Alexandria database describes a relaxed structure of CaIr2Pt. The functional is GGA-PBEsol.

## Properties
The density of states at the Fermi level comes out at 0.89 states/eV per atom. As for the space-group type: Pm (6). As for the polymorph energy (0 for the lowest one): 0.000 eV per atom. For the electronic total energy, the calculation gives -7.277 eV per atom. The formation energy comes out at -91 meV per atom.

The structure in CIF format:
```
data_CaIr2Pt
_chemical_formula_sum 'Ca1 Ir2 Pt1'
_symmetry_space_group_name_H-M 'P 1'
_symmetry_Int_Tables_number 1
_cell_length_a 2.781
_cell_length_b 4.470
_cell_length_c 5.385
_cell_angle_alpha 90.00
_cell_angle_beta 103.06
_cell_angle_gamma 90.00
loop_
_symmetry_equiv_pos_as_xyz
'x,y,z'
loop_
_atom_site_label
_atom_site_fract_x
_atom_site_fract_y
_atom_site_fract_z
Ir1 0.989 0.000 0.074
Ir2 0.559 0.500 0.203
Pt1 0.690 0.000 0.520
Ca1 0.262 0.500 0.703
```

Entry 3:
This record from the Alexandria database describes a relaxed structure of TiF4. The functional is GGA-PBEsol.

## Properties
For the formation energy (no corrections), the calculation gives -3.35 eV per atom. The density of states at the Fermi level comes out at 0.00 states/eV per atom. As for the space-group type: Pnma (62). As for the polymorph energy (0 for the lowest one): 0.000 eV per atom. For the electronic total energy, the calculation gives -6.558 eV per atom.

The structure in CIF format:
```
data_TiF4
_chemical_formula_sum 'Ti12 F48'
_symmetry_space_group_name_H-M 'P 1'
_symmetry_Int_Tables_number 1
_cell_length_a 3.865
_cell_length_b 9.634
_cell_length_c 22.959
_cell_angle_alpha 90.00
_cell_angle_beta 90.00
_cell_angle_gamma 90.00
loop_
_symmetry_equiv_pos_as_xyz
'x,y,z'
loop_
_atom_site_label
_atom_site_fract_x
_atom_site_fract_y
_atom_site_fract_z
F1 0.750 0.145 0.729
F2 0.750 0.888 0.473
F3 0.750 0.805 0.726
F4 0.750 0.363 0.501
F5 0.250 0.807 0.160
Ti1 0.750 0.303 0.767
F6 0.250 0.693 0.660
F7 0.250 0.921 0.791
F8 0.250 0.547 0.175
F9 0.750 0.695 0.226
F10 0.250 0.334 0.421
F11 0.250 0.292 0.136
F12 0.750 0.612 0.973
F13 0.750 0.137 0.001
F14 0.250 0.025 0.093
Ti2 0.250 0.697 0.233
F15 0.750 0.355 0.229
F16 0.250 0.855 0.271
F17 0.750 0.193 0.840
F18 0.750 0.467 0.101
F19 0.250 0.305 0.774
F20 0.750 0.834 0.079
Ti3 0.750 0.151 0.925
F21 0.250 0.856 0.571
F22 0.750 0.708 0.864
F23 0.250 0.208 0.636
Ti4 0.750 0.349 0.425
F24 0.750 0.421 0.709
F25 0.750 0.975 0.907
Ti5 0.250 0.050 0.599
Ti6 0.750 0.550 0.901
F26 0.750 0.033 0.601
F27 0.250 0.967 0.399
F28 0.750 0.792 0.364
F29 0.250 0.645 0.771
F30 0.250 0.195 0.274
Ti7 0.750 0.197 0.267
F31 0.750 0.307 0.340
F32 0.250 0.475 0.593
F33 0.250 0.637 0.499
Ti8 0.250 0.450 0.099
F34 0.250 0.388 0.027
F35 0.250 0.579 0.291
F36 0.250 0.533 0.899
F37 0.750 0.047 0.325
F38 0.750 0.144 0.429
Ti9 0.250 0.651 0.575
F39 0.250 0.166 0.921
F40 0.250 0.953 0.675
F41 0.750 0.453 0.825
Ti10 0.250 0.849 0.075
F42 0.250 0.863 0.999
Ti11 0.250 0.803 0.733
F43 0.250 0.644 0.071
F44 0.750 0.079 0.209
F45 0.750 0.356 0.929
Ti12 0.750 0.950 0.401
F46 0.750 0.666 0.579
F47 0.750 0.525 0.407
F48 0.250 0.112 0.527
```

Entry 4:
This record from the Alexandria database describes a relaxed structure of IrSIO2. The functional is GGA-PBEsol.

## Properties
For the formation energy (no corrections), the calculation gives -0.05 eV per atom. The density of states at the Fermi level comes out at 0.52 states/eV per atom. As for the space-group type: P4/mmm (123). For the electronic total energy, the calculation gives -5.345 eV per atom.

The structure in CIF format:
```
data_IrSIO2
_chemical_formula_sum 'Ir1 S1 I1 O2'
_symmetry_space_group_name_H-M 'P 1'
_symmetry_Int_Tables_number 1
_cell_length_a 3.731
_cell_length_b 3.731
_cell_length_c 7.743
_cell_angle_alpha 90.00
_cell_angle_beta 90.00
_cell_angle_gamma 90.00
loop_
_symmetry_equiv_pos_as_xyz
'x,y,z'
loop_
_atom_site_label
_atom_site_fract_x
_atom_site_fract_y
_atom_site_fract_z
O1 0.500 0.000 0.000
S1 0.500 0.500 0.500
O2 0.000 0.500 0.000
Ir1 0.000 0.000 0.000
I1 0.000 0.000 0.500
```

Entry 5:
This record from the Alexandria database describes a relaxed structure of Re2HgIrCl. The functional is GGA-PBEsol.

## Properties
For the formation energy (no corrections), the calculation gives 1.73 eV per atom. The density of states at the Fermi level comes out at 1.04 states/eV per atom. As for the space-group type: P4/mmm (123). For the electronic total energy, the calculation gives -6.083 eV per atom.

The structure in CIF format:
```
data_Re2HgIrCl
_chemical_formula_sum 'Re2 Hg1 Ir1 Cl1'
_symmetry_space_group_name_H-M 'P 1'
_symmetry_Int_Tables_number 1
_cell_length_a 4.351
_cell_length_b 4.351
_cell_length_c 4.401
_cell_angle_alpha 90.00
_cell_angle_beta 90.00
_cell_angle_gamma 90.00
loop_
_symmetry_equiv_pos_as_xyz
'x,y,z'
loop_
_atom_site_label
_atom_site_fract_x
_atom_site_fract_y
_atom_site_fract_z
Re1 0.000 0.500 0.000
Cl1 0.000 0.000 0.000
Hg1 0.500 0.500 0.500
Re2 0.500 0.000 0.000
Ir1 0.000 0.000 0.500
```

Entry 6:
This record from the Alexandria database describes a relaxed structure of In2Co. The functional is GGA-PBEsol.

## Properties
The density of states at the Fermi level comes out at 0.54 states/eV per atom. As for the space-group type: P4_2/mnm (136). For the electronic total energy, the calculation gives -4.374 eV per atom. The formation energy comes out at 193 meV per atom.

The structure in CIF format:
```
data_In2Co
_chemical_formula_sum 'In4 Co2'
_symmetry_space_group_name_H-M 'P 1'
_symmetry_Int_Tables_number 1
_cell_length_a 2.983
_cell_length_b 6.476
_cell_length_c 6.476
_cell_angle_alpha 90.00
_cell_angle_beta 90.00
_cell_angle_gamma 90.00
loop_
_symmetry_equiv_pos_as_xyz
'x,y,z'
loop_
_atom_site_label
_atom_site_fract_x
_atom_site_fract_y
_atom_site_fract_z
In1 0.500 0.774 0.774
In2 0.000 0.726 0.274
Co1 0.500 0.500 0.500
In3 0.000 0.274 0.726
In4 0.500 0.226 0.226
Co2 0.000 0.000 0.000
```

Entry 7:
This record from the Alexandria database describes a relaxed structure of Ba3Tl2Cl2O5. The functional is GGA-PBEsol.

## Properties
For the formation energy (no corrections), the calculation gives -1.83 eV per atom. The density of states at the Fermi level comes out at 0.09 states/eV per atom. As for the space-group type: I4/mmm (139). For the electronic total energy, the calculation gives -5.331 eV per atom.

The structure in CIF format:
```
data_Ba3Tl2Cl2O5
_chemical_formula_sum 'Ba3 Tl2 Cl2 O5'
_symmetry_space_group_name_H-M 'P 1'
_symmetry_Int_Tables_number 1
_cell_length_a 4.351
_cell_length_b 4.351
_cell_length_c 12.973
_cell_angle_alpha 99.65
_cell_angle_beta 99.65
_cell_angle_gamma 90.00
loop_
_symmetry_equiv_pos_as_xyz
'x,y,z'
loop_
_atom_site_label
_atom_site_fract_x
_atom_site_fract_y
_atom_site_fract_z
O1 0.403 0.903 0.805
Ba1 0.000 0.000 0.000
Tl1 0.586 0.586 0.172
Cl1 0.293 0.293 0.585
Tl2 0.414 0.414 0.828
O2 0.500 0.500 0.000
Cl2 0.707 0.707 0.415
O3 0.597 0.097 0.195
O4 0.903 0.403 0.805
Ba2 0.163 0.163 0.327
Ba3 0.837 0.837 0.673
O5 0.097 0.597 0.195
```

Entry 8:
This record from the Alexandria database describes a relaxed structure of CaMoO4. The functional is GGA-PBEsol.

## Properties
For the formation energy (no corrections), the calculation gives -2.57 eV per atom. The density of states at the Fermi level comes out at 0.00 states/eV per atom. As for the space-group type: I4_1/a (88). For the electronic total energy, the calculation gives -8.381 eV per atom.

The structure in CIF format:
```
data_CaMoO4
_chemical_formula_sum 'Ca2 Mo2 O8'
_symmetry_space_group_name_H-M 'P 1'
_symmetry_Int_Tables_number 1
_cell_length_a 5.203
_cell_length_b 5.203
_cell_length_c 6.744
_cell_angle_alpha 112.69
_cell_angle_beta 112.69
_cell_angle_gamma 90.00
loop_
_symmetry_equiv_pos_as_xyz
'x,y,z'
loop_
_atom_site_label
_atom_site_fract_x
_atom_site_fract_y
_atom_site_fract_z
O1 0.184 0.593 0.671
O2 0.487 0.078 0.671
Mo1 0.000 0.000 0.000
Ca1 0.500 0.500 0.000
O3 0.843 0.237 0.171
O4 0.407 0.513 0.329
O5 0.328 0.934 0.171
O6 0.922 0.816 0.329
Mo2 0.250 0.750 0.500
O7 0.763 0.672 0.829
Ca2 0.750 0.250 0.500
O8 0.066 0.157 0.829
```

> Which value of electronic total energy does entry 8 give?

-8.381 eV per atom